# LiPuAlPt2 (PBE, optimized geometry)
data_LiPuAlPt2
_chemical_formula_sum 'Li2 Pu2 Al2 Pt4'
_cell_length_a 3.9039
_cell_length_b 3.9039
_cell_length_c 12.0423
_cell_angle_alpha 90.00
_cell_angle_beta 90.00
_cell_angle_gamma 90.00
_space_group_name_H-M_alt 'I -4 m 2'
_space_group_IT_number 119
_space_group_name_Hall 'I -4 -2'
loop_
_atom_site_label
_atom_site_type_symbol
_atom_site_fract_x
_atom_site_fract_y
_atom_site_fract_z
_atom_site_occupancy
Li1 Li 0.0000 0.0000 0.0000 1
Pu1 Pu 0.0000 0.5000 0.2500 1
Al1 Al 0.0000 0.0000 0.5000 1
Pt1 Pt 0.0000 0.5000 0.6366 1
# Crystal system: tetragonal
# DFT formation energy: -784 meV/atom


# Ba2InGa3 (PBE, optimized geometry)
data_Ba2InGa3
_chemical_formula_sum 'Ba4 In2 Ga6'
_cell_length_a 11.5983
_cell_length_b 5.0574
_cell_length_c 8.1089
_cell_angle_alpha 90.00
_cell_angle_beta 134.05
_cell_angle_gamma 90.00
_space_group_name_H-M_alt 'C 1 m 1'
_space_group_IT_number 8
loop_
_space_group_symop_operation_xyz
'x,y,z'
'x,-y,z'
'x+1/2,y+1/2,z'
'x+1/2,-y+1/2,z'
loop_
_atom_site_label
_atom_site_type_symbol
_atom_site_fract_x
_atom_site_fract_y
_atom_site_fract_z
_atom_site_occupancy
Ba1 Ba 0.0000 0.0000 0.0000 1
Ba2 Ba 0.0011 0.5000 0.3941 1
In1 In 0.3206 0.5000 0.4261 1
Ga1 Ga 0.1682 0.5000 0.9454 1
Ga2 Ga 0.1824 0.0000 0.7877 1
Ga3 Ga 0.3225 0.0000 0.6168 1
# Crystal system: monoclinic
# DFT formation energy: -450 meV/atom


# Er2AlRu3 (PBE, optimized geometry)
data_Er2AlRu3
_chemical_formula_sum 'Er4 Al2 Ru6'
_cell_length_a 5.4339
_cell_length_b 5.4339
_cell_length_c 8.3761
_cell_angle_alpha 90.00
_cell_angle_beta 90.00
_cell_angle_gamma 120.00
_space_group_name_H-M_alt 'P 63/m m c'
_space_group_IT_number 194
_space_group_name_Hall '-P 6c 2c'
loop_
_atom_site_label
_atom_site_type_symbol
_atom_site_fract_x
_atom_site_fract_y
_atom_site_fract_z
_atom_site_occupancy
Er1 Er 0.3333 0.6667 0.0658 1
Al1 Al 0.0000 0.0000 0.0000 1
Ru1 Ru 0.1714 0.3428 0.7500 1
# Crystal system: hexagonal
# DFT formation energy: -471 meV/atom


# Rb4Er3ThTe8 (PBE, optimized geometry)
data_Rb4Er3ThTe8
_chemical_formula_sum 'Rb12 Er9 Th3 Te24'
_cell_length_a 9.0036
_cell_length_b 9.0036
_cell_length_c 25.7879
_cell_angle_alpha 90.00
_cell_angle_beta 90.00
_cell_angle_gamma 120.00
_space_group_name_H-M_alt 'R -3 m'
_space_group_IT_number 166
_space_group_name_Hall '-R 3 2"'
loop_
_atom_site_label
_atom_site_type_symbol
_atom_site_fract_x
_atom_site_fract_y
_atom_site_fract_z
_atom_site_occupancy
Rb1 Rb 0.0000 0.0000 0.0000 1
Rb2 Rb 0.0000 0.5000 0.0000 1
Er1 Er 0.0000 0.5000 0.5000 1
Th1 Th 0.0000 0.0000 0.5000 1
Te1 Te 0.0000 0.0000 0.2324 1
Te2 Te 0.0056 0.5028 0.7660 1
# Formation energy (no corrections): -1.31 eV/atom
# Crystal system: trigonal